Entry a
Computed, not measured: a relaxed TlAg2Cl crystal at the PBE-GGA level of DFT.

a b c (Å): 4.053 4.053 11.307
angles (deg): 90.00 90.00 90.00
Space group I-4m2 (No. 119)
Asymmetric unit:
Tl 0.000 0.000 0.000 [2 per cell]
Ag 0.000 0.000 0.500 [2 per cell]
Ag 0.000 0.500 0.750 [2 per cell]
Cl 0.000 0.500 0.250 [2 per cell]

## Properties
**Volume**: 23.2 A^3/atom
**Size of the total moment**: 0.00 μB per cell
**D(E_F)**: 2.3 states/eV per cell

---

Entry b
Computed, not measured: a relaxed TlAg2Cl crystal at the PBE-GGA level of DFT.

a b c (Å): 4.214 4.214 10.888
angles (deg): 90.00 90.00 90.00
Space group I4/mmm (No. 139)
Asymmetric unit:
Tl 0.000 0.000 0.000 [2 per cell]
Ag 0.000 0.500 0.250 [4 per cell]
Cl 0.000 0.000 0.500 [2 per cell]

## Properties
**Volume**: 24.2 A^3/atom
**Size of the total moment**: 0.00 μB per cell
**D(E_F)**: 1.9 states/eV per cell

---

The structure with the least stability is entry a.

---

Entry a
Computed, not measured: a relaxed TlAg2Cl crystal at the PBE-GGA level of DFT.

a b c (Å): 3.385 3.385 7.942
angles (deg): 90.00 90.00 90.00
Space group P4mm (No. 99)
Asymmetric unit:
Tl 0.000 0.000 0.000 [1 per cell]
Ag 0.000 0.000 0.492 [1 per cell]
Ag 0.500 0.500 0.286 [1 per cell]
Cl 0.500 0.500 0.702 [1 per cell]

## Properties
**Volume**: 22.7 A^3/atom
**Size of the total moment**: 0.00 μB per cell
**D(E_F)**: 1.0 states/eV per cell

---

Entry b
Computed, not measured: a relaxed TlAg2Cl crystal at the PBE-GGA level of DFT.

a b c (Å): 3.307 5.277 10.307
angles (deg): 90.00 90.00 90.00
Space group Immm (No. 71)
Asymmetric unit:
Tl 0.000 0.000 0.000 [2 per cell]
Ag 0.000 0.500 0.241 [4 per cell]
Cl 0.000 0.000 0.500 [2 per cell]

## Properties
**Volume**: 22.5 A^3/atom
**Size of the total moment**: 0.00 μB per cell
**D(E_F)**: 1.6 states/eV per cell

---

The structure with the least stability is entry b.

---

Entry a
Computed, not measured: a relaxed TlAg5Cl8 crystal at the PBE-GGA level of DFT.

a b c (Å): 11.351 11.351 11.351
angles (deg): 90.00 90.00 90.00
Space group F-43m (No. 216)
Asymmetric unit:
Tl 0.000 0.000 0.000 [4 per cell]
Ag 0.121 0.121 0.379 [16 per cell]
Ag 0.250 0.250 0.750 [4 per cell]
Cl 0.119 0.119 0.619 [16 per cell]
Cl 0.134 0.134 0.134 [16 per cell]

## Properties
**Volume**: 26.1 A^3/atom
**Size of the total moment**: 0.00 μB per cell
**D(E_F)**: 41.9 states/eV per cell

---

Entry b
Computed, not measured: a relaxed TlAg5Cl8 crystal at the PBE-GGA level of DFT.

a b c (Å): 10.158 10.158 7.548
angles (deg): 90.00 90.00 90.00
Space group I-4 (No. 82)
Asymmetric unit:
Tl 0.000 0.000 0.000 [2 per cell]
Ag 0.000 0.500 0.750 [2 per cell]
Ag 0.223 0.237 0.594 [8 per cell]
Cl 0.055 0.738 0.657 [8 per cell]
Cl 0.095 0.726 0.148 [8 per cell]

## Properties
**Volume**: 27.8 A^3/atom
**Size of the total moment**: 0.00 μB per cell
**D(E_F)**: 30.5 states/eV per cell

---

The structure with the least stability is entry b.

---

Entry a
Computed, not measured: a relaxed TlAg3Cl crystal at the PBE-GGA level of DFT.

a b c (Å): 5.117 5.117 5.117
angles (deg): 90.00 90.00 90.00
Space group Pm-3m (No. 221)
Asymmetric unit:
Tl 0.000 0.000 0.000 [1 per cell]
Ag 0.000 0.500 0.500 [3 per cell]
Cl 0.500 0.500 0.500 [1 per cell]

## Properties
**Volume**: 26.8 A^3/atom
**Size of the total moment**: 0.00 μB per cell
**D(E_F)**: 2.9 states/eV per cell

---

Entry b
Computed, not measured: a relaxed TlAg3Cl crystal at the PBE-GGA level of DFT.

a b c (Å): 5.381 5.381 5.381
angles (deg): 90.00 90.00 90.00
Space group Pm-3m (No. 221)
Asymmetric unit:
Tl 0.000 0.000 0.000 [1 per cell]
Ag 0.000 0.000 0.500 [3 per cell]
Cl 0.500 0.500 0.500 [1 per cell]

## Properties
**Volume**: 31.2 A^3/atom
**Size of the total moment**: 0.00 μB per cell
**D(E_F)**: 4.9 states/eV per cell

---

The structure with the least stability is entry b.